# PrSm2Sn4Au4 PBE-GGA relaxed
data_PrSm2Sn4Au4
_chemical_formula_sum 'Pr2 Sm4 Sn8 Au8'
_symmetry_space_group_name_H-M 'I m m m'
_symmetry_Int_Tables_number 71
_symmetry_space_group_name_Hall '-I 2 2'
_cell_length_a 4.629
_cell_length_b 7.359
_cell_length_c 15.619
_cell_angle_alpha 90.00
_cell_angle_beta 90.00
_cell_angle_gamma 90.00
loop_
_atom_site_label
_atom_site_fract_x
_atom_site_fract_y
_atom_site_fract_z
_atom_site_occupancy
Pr1 0.000 0.000 0.000 1
Sm1 0.000 0.500 0.130 1
Sn1 0.000 0.000 0.216 1
Sn2 0.000 0.194 0.500 1
Au1 0.000 0.300 0.332 1
# Total magnetization ... 0.00 μB per formula unit

***

# GeMo PBE-GGA relaxed
data_GeMo
_chemical_formula_sum 'Ge4 Mo4'
_symmetry_space_group_name_H-M 'F -4 3 m'
_symmetry_Int_Tables_number 216
_symmetry_space_group_name_Hall 'F -4 2 3'
_cell_length_a 5.768
_cell_length_b 5.768
_cell_length_c 5.768
_cell_angle_alpha 90.00
_cell_angle_beta 90.00
_cell_angle_gamma 90.00
loop_
_atom_site_label
_atom_site_fract_x
_atom_site_fract_y
_atom_site_fract_z
_atom_site_occupancy
Ge1 0.000 0.000 0.000 1
Mo1 0.250 0.250 0.250 1
# Total magnetization ... 1.98 μB per formula unit

***

# TbDy2Ge4Pt4 PBE-GGA relaxed
data_TbDy2Ge4Pt4
_chemical_formula_sum 'Tb2 Dy4 Ge8 Pt8'
_symmetry_space_group_name_H-M 'I m m m'
_symmetry_Int_Tables_number 71
_symmetry_space_group_name_Hall '-I 2 2'
_cell_length_a 4.189
_cell_length_b 7.126
_cell_length_c 13.921
_cell_angle_alpha 90.00
_cell_angle_beta 90.00
_cell_angle_gamma 90.00
loop_
_atom_site_label
_atom_site_fract_x
_atom_site_fract_y
_atom_site_fract_z
_atom_site_occupancy
Tb1 0.000 0.000 0.000 1
Dy1 0.000 0.500 0.125 1
Ge1 0.000 0.000 0.220 1
Ge2 0.000 0.187 0.500 1
Pt1 0.000 0.297 0.327 1
# Total magnetization ... 0.00 μB per formula unit

***

Number 1: DFT total energy -4.635 eV per atom. Number 2: DFT total energy -6.546 eV per atom. Number 3: DFT total energy -6.128 eV per atom.